No. 1
Density functional theory data (PBE-GGA) for crystalline HoErSc2Rh4 at its relaxed geometry.

Calculated values
V, Å³/cell: 146.2
Formation energy, eV per atom: -0.953
DOS at the Fermi energy, states/eV/atom: 0.37

Lattice parameters (Å, degrees): 8.123 8.123 8.123 33.59 33.59 33.59
Positions (direct):
Ho (0.000, 0.000, 0.000)
Er (0.500, 0.500, 0.500)
Sc (0.250, 0.250, 0.250)
Sc (0.750, 0.750, 0.750)
Rh (0.125, 0.125, 0.125)
Rh (0.375, 0.375, 0.375)
Rh (0.625, 0.625, 0.625)
Rh (0.875, 0.875, 0.875)

---

No. 2
Density functional theory data (PBE-GGA) for crystalline MgTl3In3I8 at its relaxed geometry.

Calculated values
Energy relative to the elements, uncorrected, meV/atom: -646
V, Å³/cell: 681.0
DOS at the Fermi energy, states/eV/atom: 0.00

Lattice parameters (Å, degrees): 9.891 9.891 9.891 59.79 59.79 59.79
Positions (direct):
Mg (0.000, 0.000, 0.000)
Tl (0.000, 0.000, 0.500)
Tl (0.000, 0.500, 0.000)
Tl (0.500, 0.000, 0.000)
In (0.000, 0.500, 0.500)
In (0.500, 0.000, 0.500)
In (0.500, 0.500, 0.000)
I (0.214, 0.214, 0.784)
I (0.214, 0.784, 0.214)
I (0.216, 0.786, 0.786)
I (0.251, 0.251, 0.251)
I (0.749, 0.749, 0.749)
I (0.784, 0.214, 0.214)
I (0.786, 0.216, 0.786)
I (0.786, 0.786, 0.216)